1:
Compound: Dy3ScBi2
Source: Alexandria
Functional: GGA-PBE
Structure: relaxed

## Properties
- Total moment: 0.6 μB/cell
- Space-group type: No. 115

Cell: 4.4920 4.4920 8.5105 Å, 90.00 90.00 90.00°
With the nearest neighbours (Å) after each atom.
Sites, in units of the cell vectors:
Sc 0.5000 0.5000 0.0000  4 Dy 3.18, 4 Bi 3.26
Bi 0.5000 0.0000 0.7218  7 Dy 3.21-3.26, 2 Sc 3.26
Dy 0.0000 0.0000 0.0000  4 Sc 3.18, 4 Bi 3.26
Bi 0.0000 0.5000 0.2782  7 Dy 3.21-3.26, 2 Sc 3.26
Dy 0.5000 0.0000 0.3451  5 Bi 3.21-3.23
Dy 0.0000 0.5000 0.6549  5 Bi 3.21-3.23

---

2:
Compound: Dy3ScBi2
Source: Alexandria
Functional: GGA-PBE
Structure: relaxed

## Properties
- Total moment: 0.0 μB/cell
- Space-group type: No. 12

Cell: 4.2914 8.6975 11.1827 Å, 72.15 78.94 75.72°
With the nearest neighbours (Å) after each atom.
Sites, in units of the cell vectors:
Dy 0.3849 0.2115 0.0188  3 Bi 3.24-3.34, 1 Dy 3.58
Dy 0.0538 0.1145 0.7779  3 Bi 3.24-3.33
Dy 0.6151 0.7885 0.9812  3 Bi 3.24-3.34, 1 Dy 3.58
Sc 0.5790 0.5139 0.3280  4 Bi 2.91-2.97
Bi 0.1624 0.5293 0.1458  2 Sc 2.91, 2 Dy 3.24
Dy 0.7581 0.8370 0.6469  4 Bi 3.10-3.30
Bi 0.8376 0.4707 0.8542  2 Sc 2.91, 2 Dy 3.24
Sc 0.4210 0.4861 0.6720  4 Bi 2.91-2.97
Bi 0.6164 0.2182 0.5489  2 Sc 2.93-2.97, 5 Dy 3.10-3.24
Dy 0.9462 0.8855 0.2221  3 Bi 3.24-3.33
Bi 0.3836 0.7818 0.4511  2 Sc 2.93-2.97, 5 Dy 3.10-3.24
Dy 0.2419 0.1630 0.3531  4 Bi 3.10-3.30

---

Which is the most stable structure? 1 is the most stable.